# ThCo2Si2Ni

An optimized crystal structure of ThCo2Si2Ni (PBE-GGA, Alexandria).

The calculated volume comes out at 15.916 Å³ per atom. The total magnetization is 0.0 μB per formula unit. As for the formation energy (no corrections): -178 meV/atom. Its space group is P4/mmm (123).

```
ThCo2Si2Ni
1.0
-2.425 0.472 3.475
-2.755 -2.870 -1.534
2.673 -3.842 2.387
Ni Co Si Th
1 2 2 1
direct
0.000 0.000 0.000
0.500 0.500 0.749
0.500 0.500 0.251
0.000 0.500 0.000
0.500 0.000 0.000
0.000 0.000 0.500
```